(1)
An optimized crystal structure of Ac3AgGe3, computed with GGA-PBE.

V = 201.8 Å³ per cell
Polymorph energy (0 for the lowest one) = 0.00 eV/f.u.
SG = No. 44
Theoretical density = 8284 kg/m³

```
Ac3AgGe3
1.0
-1.944 1.108 -3.799
-2.200 -4.063 -0.059
-5.464 5.487 6.955
Ac Ag Ge
3 1 3
Cartesian
-5.850 0.495 3.139
-3.736 2.024 -0.056
-0.055 0.029 0.037
-6.533 3.475 4.357
-3.259 -0.883 1.410
-6.361 3.420 1.695
-3.032 -0.967 -1.289
```



(2)
An optimized crystal structure of Ac2Ag2Ge3, computed with GGA-PBE.

V = 341.9 Å³ per cell
Polymorph energy (0 for the lowest one) = 0.00 eV/f.u.
SG = No. 63
Theoretical density = 8622 kg/m³

```
Ac2Ag2Ge3
1.0
4.590 0.000 -1.094
0.000 7.355 0.000
-0.010 0.000 10.130
Ac Ag Ge
4 4 6
Cartesian
0.719 1.839 3.016
3.860 5.516 6.019
4.338 1.839 8.022
0.242 5.516 1.013
3.150 6.924 3.040
1.429 0.432 5.996
1.429 3.246 5.996
3.150 4.109 3.040
1.015 5.516 4.259
3.564 1.839 4.776
2.563 3.142 0.577
2.017 4.213 8.459
2.017 6.820 8.459
2.563 0.536 0.577
```



(3)
An optimized crystal structure of Ac2Ag5Ge, computed with GGA-PBE.

V = 396.1 Å³ per cell
SG = No. 63
Theoretical density = 8938 kg/m³

```
Ac2Ag5Ge
1.0
4.749 0.000 0.000
-2.375 8.571 0.000
0.000 0.000 9.731
Ac Ag Ge
4 10 2
Cartesian
2.375 5.120 7.299
0.000 3.451 2.433
0.000 0.000 0.000
0.000 0.000 4.866
0.000 3.150 8.679
2.375 5.421 1.053
0.000 3.150 5.918
2.375 5.421 3.813
0.000 6.038 9.471
2.375 2.533 0.261
0.000 6.038 5.126
2.375 2.533 4.605
2.375 1.666 7.299
0.000 6.905 2.433
0.000 7.598 7.299
2.375 0.972 2.433
```



(4)
An optimized crystal structure of AcAgGe2, computed with GGA-PBE.

V = 96.6 Å³ per cell
Polymorph energy (0 for the lowest one) = 1.22 eV/f.u.
SG = No. 225
Theoretical density = 8253 kg/m³

```
AcAgGe2
1.0
-4.863 -0.921 -1.425
-3.647 -0.674 3.574
-3.615 3.601 0.701
Ac Ge Ag
1 2 1
Cartesian
0.000 0.000 0.000
-3.031 0.502 0.712
-9.094 1.505 2.137
-6.063 1.003 1.425
```



(5)
An optimized crystal structure of Ac2AgGe, computed with GGA-PBE.

V = 121.5 Å³ per cell
SG = No. 123
Theoretical density = 8670 kg/m³

```
Ac2AgGe
1.0
4.058 0.000 0.000
0.000 5.472 0.000
0.000 0.000 5.472
Ac Ge Ag
2 1 1
Cartesian
0.000 0.000 2.736
0.000 2.736 0.000
2.029 2.736 2.736
2.029 0.000 0.000
```



(6)
An optimized crystal structure of Ac8AgGe2, computed with GGA-PBE.

V = 406.4 Å³ per cell
SG = No. 12
Theoretical density = 8455 kg/m³

```
Ac8AgGe2
1.0
-1.947 4.920 0.702
-4.470 -2.561 5.555
9.468 0.168 4.794
Ac Ag Ge
8 1 2
Cartesian
4.552 0.776 7.184
-2.619 0.787 7.513
1.012 2.298 6.994
5.999 4.345 6.479
2.038 0.228 4.057
5.669 1.739 3.537
-1.501 1.750 3.867
-2.948 -1.819 4.572
-0.973 2.460 0.351
3.242 3.478 4.908
-0.191 -0.952 6.143
```



Here are the calculated raw total energy numbers, same order: -0.350, -0.332, -0.272, -0.312, -0.320, -0.318 (Ry/atom).